Record 1
Zr2AlAsOs: optimized geometry, GGA-PBEsol.

Energy of formation from the pure elements ... 382 meV/atom
Total magnetic moment ... 0.0 Bohr magnetons per cell
Space group ... P4/mmm, No. 123
VASP energy ... -37.7 eV for the cell shown

Cell and atoms, written as POSCAR:
```
Zr2AlAsOs
1.0
5.046 0.000 0.000
0.000 5.046 0.000
0.000 0.000 4.557
Zr Al As Os
2 1 1 1
Direct
0.000 0.500 0.000
0.500 0.000 0.000
0.000 0.000 0.500
0.500 0.500 0.500
0.500 0.500 0.000
```

Record 2
SbAuN3: optimized geometry, GGA-PBEsol.

Total magnetic moment ... 3.0 Bohr magnetons per cell
Space group ... Pm-3m, No. 221
Uncorrected formation energy ... 41.12 kcal/mol of atoms
VASP energy ... -25.1 eV for the cell shown

Cell and atoms, written as POSCAR:
```
SbAuN3
1.0
4.056 0.000 0.000
0.000 4.056 0.000
0.000 0.000 4.056
Sb Au N
1 1 3
Direct
0.000 0.000 0.000
0.500 0.500 0.500
0.000 0.000 0.500
0.000 0.500 0.000
0.500 0.000 0.000
```

Record 3
BeCu5: optimized geometry, GGA-PBEsol.

Excess energy over the best structure of this formula in the dataset ... 22 meV/atom
Energy of formation from the pure elements ... -10 meV/atom
Total magnetic moment ... 0.0 Bohr magnetons per cell
Space group ... P-62m, No. 189
VASP energy ... -25.7 eV for the cell shown

Cell and atoms, written as POSCAR:
```
BeCu5
1.0
4.300 0.000 0.000
-2.150 3.724 0.000
0.000 0.000 4.042
Be Cu
1 5
Direct
0.000 0.000 0.000
0.000 0.326 0.500
0.326 0.000 0.500
0.333 0.667 0.000
0.667 0.333 0.000
0.674 0.674 0.500
```